A relaxed structure of CaV2OsF, computed with PBE with a Hubbard U.

Output
Total magnetic moment = 0.348 μB/f.u.
Uncorrected energy = -24.927 eV per cell

a b c (Å): 4.1980 4.9225 4.1980
angles (deg): 90.00 90.00 90.00
Sites, in units of the cell vectors:
F1 0.0000 0.0000 0.0000
Ca1 0.5000 0.5000 0.5000
Os1 0.0000 0.5000 0.0000
V1 0.0000 0.0000 0.5000
V2 0.5000 0.0000 0.0000